1.
DFT (GGA-PBE) results for a relaxed structure of Li6GaIr2.

The structure in extended XYZ format:
```
9
Lattice="3.315 -3.789 0.000 3.315 3.789 0.000 -1.000 0.000 4.941" Properties=species:S:1:pos:R:3 pbc="T T T"
Li 1.900 1.244 1.621
Li 3.315 2.487 0.000
Li 1.900 -1.244 1.621
Li 3.729 1.244 3.320
Li 3.315 -2.487 0.000
Li 3.729 -1.244 3.320
Ga -0.500 0.000 2.470
Ir 1.355 0.000 4.098
Ir 4.275 0.000 0.843
```

Values from the calculation:
Symmetry   C2/m
DOS at the Fermi energy   3.58 states/eV per cell
Volume   124.1 Å³/cell

2.
DFT (GGA-PBE) results for a relaxed structure of LaCuBIr2.

The structure in extended XYZ format:
```
5
Lattice="4.289 0.000 0.000 0.000 4.289 0.000 0.000 0.000 4.331" Properties=species:S:1:pos:R:3 pbc="T T T"
La 0.000 0.000 0.000
Cu 2.145 2.145 0.000
B 2.145 2.145 2.165
Ir 0.000 2.145 2.165
Ir 2.145 0.000 2.165
```

Values from the calculation:
Symmetry   P4/mmm
DOS at the Fermi energy   0.56 states/eV per cell
Volume   79.7 Å³/cell

3.
DFT (GGA-PBE) results for a relaxed structure of MnCoAg2.

The structure in extended XYZ format:
```
4
Lattice="4.707 -1.409 0.000 4.707 1.409 0.000 -0.900 0.000 4.639" Properties=species:S:1:pos:R:3 pbc="T T T"
Mn 0.000 0.000 0.000
Co 4.257 0.000 2.320
Ag 1.638 0.000 3.460
Ag 6.875 0.000 1.180
```

Values from the calculation:
Symmetry   C2/m
DOS at the Fermi energy   3.88 states/eV per cell
Volume   61.5 Å³/cell

4.
DFT (GGA-PBE) results for a relaxed structure of CaCuPb.

The structure in extended XYZ format:
```
3
Lattice="4.747 0.000 0.000 -2.373 4.111 0.000 0.000 0.000 3.712" Properties=species:S:1:pos:R:3 pbc="T T T"
Ca 0.000 0.000 0.000
Cu 2.373 1.370 1.856
Pb 0.000 2.740 1.856
```

Values from the calculation:
Symmetry   P-6m2
DOS at the Fermi energy   0.39 states/eV per cell
Volume   72.4 Å³/cell

5.
DFT (GGA-PBE) results for a relaxed structure of Li2EuEr.

The structure in extended XYZ format:
```
4
Lattice="3.806 0.000 0.000 0.000 3.806 0.000 0.000 0.000 7.824" Properties=species:S:1:pos:R:3 pbc="T T T"
Li 0.000 0.000 1.781
Li 0.000 0.000 6.044
Eu 1.903 1.903 3.912
Er 1.903 1.903 0.000
```

Values from the calculation:
Symmetry   P4/mmm
DOS at the Fermi energy   8.63 states/eV per cell
Volume   113.3 Å³/cell

6.
DFT (GGA-PBE) results for a relaxed structure of Tb5SmCd4.

The structure in extended XYZ format:
```
10
Lattice="3.707 0.000 0.000 0.000 3.707 0.000 0.000 0.000 20.319" Properties=species:S:1:pos:R:3 pbc="T T T"
Tb 0.000 0.000 0.000
Tb 0.000 0.000 3.821
Tb 0.000 0.000 7.682
Tb 0.000 0.000 12.636
Tb 0.000 0.000 16.498
Sm 1.854 1.854 10.159
Cd 1.854 1.854 1.927
Cd 1.854 1.854 5.756
Cd 1.854 1.854 14.563
Cd 1.854 1.854 18.392
```

Values from the calculation:
Symmetry   P4/mmm
DOS at the Fermi energy   14.69 states/eV per cell
Volume   279.3 Å³/cell

Number 1: energy -34.37 eV/cell. Number 2: energy -35.44 eV/cell. Number 3: energy -20.48 eV/cell. Number 4: energy -10.69 eV/cell. Number 5: energy -18.12 eV/cell. Number 6: energy -33.94 eV/cell.